## Cs6Au2SeO (PBE-GGA)

Data for a relaxed structure of Cs6Au2SeO.

Calculated values
Formation energy from raw total energies   -0.71 eV per atom

a = 8.563 Å, b = 9.082 Å, c = 14.766 Å
α = 90.00°, β = 124.68°, γ = 90.00°
Positions (direct):
Cs 0.105 0.048 0.225
Cs 0.105 0.452 0.725
Cs 0.237 0.718 0.067
Cs 0.237 0.782 0.567
Cs 0.334 0.173 0.053
Cs 0.334 0.327 0.553
Cs 0.666 0.673 0.447
Cs 0.666 0.827 0.947
Cs 0.763 0.218 0.433
Cs 0.763 0.282 0.933
Cs 0.895 0.548 0.275
Cs 0.895 0.952 0.775
Au 0.280 0.078 0.754
Au 0.280 0.422 0.254
Au 0.720 0.578 0.746
Au 0.720 0.922 0.246
Se 0.500 0.000 0.500
Se 0.500 0.500 0.000
O 0.000 0.000 0.000
O 0.000 0.500 0.500

---

## CsAuSe2O8 (PBE-GGA)

Data for a relaxed structure of CsAuSe2O8.

Calculated values
Formation energy from raw total energies   -0.61 eV per atom

a = 9.879 Å, b = 9.879 Å, c = 9.879 Å
α = 30.45°, β = 30.45°, γ = 30.45°
Positions (direct):
Cs 0.000 0.000 0.000
Au 0.500 0.500 0.500
Se 0.233 0.233 0.233
Se 0.767 0.767 0.767
O 0.100 0.477 0.780
O 0.220 0.900 0.523
O 0.291 0.291 0.291
O 0.477 0.780 0.100
O 0.523 0.220 0.900
O 0.709 0.709 0.709
O 0.780 0.100 0.477
O 0.900 0.523 0.220

---

## CsSrAu2O (PBE-GGA)

Data for a relaxed structure of CsSrAu2O.

Calculated values
Formation energy from raw total energies   0.18 eV per atom

a = 5.732 Å, b = 5.732 Å, c = 13.329 Å
α = 90.00°, β = 90.00°, γ = 90.00°
Positions (direct):
Cs 0.000 0.000 0.000
Sr 0.000 0.000 0.500
Au 0.000 0.500 0.500
Au 0.500 0.000 0.500
O 0.500 0.500 0.000

---

## CsTb2Au2O6 (PBE-GGA)

Data for a relaxed structure of CsTb2Au2O6.

Calculated values
Formation energy from raw total energies   -1.65 eV per atom

a = 6.349 Å, b = 6.486 Å, c = 6.513 Å
α = 97.67°, β = 115.74°, γ = 110.42°
Positions (direct):
Cs 0.000 0.000 0.000
Tb 0.343 0.023 0.685
Tb 0.657 0.977 0.315
Au 0.050 0.465 0.808
Au 0.950 0.535 0.192
O 0.107 0.230 0.599
O 0.302 0.817 0.345
O 0.360 0.773 0.906
O 0.640 0.227 0.094
O 0.698 0.183 0.655
O 0.893 0.770 0.401

---

## Cs2TbAuO4 (PBE-GGA)

Data for a relaxed structure of Cs2TbAuO4.

Calculated values
Formation energy from raw total energies   -1.38 eV per atom

a = 14.164 Å, b = 12.518 Å, c = 7.955 Å
α = 84.41°, β = 61.60°, γ = 33.99°
Positions (direct):
Cs 0.062 0.062 0.688
Cs 0.312 0.312 0.938
Cs 0.688 0.688 0.062
Cs 0.938 0.938 0.312
Tb 0.125 0.125 0.125
Tb 0.875 0.875 0.875
Au 0.375 0.375 0.375
Au 0.625 0.625 0.625
O 0.036 0.704 0.517
O 0.243 0.517 0.704
O 0.296 0.964 0.757
O 0.483 0.757 0.964
O 0.517 0.243 0.036
O 0.704 0.036 0.243
O 0.757 0.483 0.296
O 0.964 0.296 0.483

---

## Cs5TeAuO2 (PBE-GGA)

Data for a relaxed structure of Cs5TeAuO2.

Calculated values
Formation energy from raw total energies   -1.03 eV per atom

a = 6.073 Å, b = 6.073 Å, c = 9.903 Å
α = 90.00°, β = 90.00°, γ = 90.00°
Positions (direct):
Cs 0.000 0.000 0.000
Cs 0.000 0.500 0.267
Cs 0.000 0.500 0.733
Cs 0.500 0.000 0.267
Cs 0.500 0.000 0.733
Te 0.500 0.500 0.000
Au 0.000 0.000 0.500
O 0.000 0.000 0.294
O 0.000 0.000 0.706

---

## Cs6TeAu2O (PBE-GGA)

Data for a relaxed structure of Cs6TeAu2O.

Calculated values
Formation energy from raw total energies   -0.69 eV per atom

a = 8.692 Å, b = 9.337 Å, c = 14.595 Å
α = 90.00°, β = 123.68°, γ = 90.00°
Positions (direct):
Cs 0.077 0.071 0.217
Cs 0.077 0.429 0.717
Cs 0.244 0.728 0.087
Cs 0.244 0.772 0.587
Cs 0.326 0.162 0.052
Cs 0.326 0.338 0.552
Cs 0.674 0.662 0.448
Cs 0.674 0.838 0.948
Cs 0.756 0.228 0.413
Cs 0.756 0.272 0.913
Cs 0.923 0.571 0.283
Cs 0.923 0.929 0.783
Te 0.500 0.000 0.500
Te 0.500 0.500 0.000
Au 0.291 0.079 0.763
Au 0.291 0.421 0.263
Au 0.709 0.579 0.737
Au 0.709 0.921 0.237
O 0.000 0.000 0.000
O 0.000 0.500 0.500

---

## Cs8TeAu2O (PBE-GGA)

Data for a relaxed structure of Cs8TeAu2O.

Calculated values
Formation energy from raw total energies   -0.58 eV per atom

a = 8.322 Å, b = 10.520 Å, c = 8.326 Å
α = 90.00°, β = 91.57°, γ = 90.00°
Positions (direct):
Cs 0.174 0.199 0.183
Cs 0.174 0.801 0.183
Cs 0.259 0.000 0.750
Cs 0.319 0.500 0.700
Cs 0.681 0.500 0.300
Cs 0.741 0.000 0.250
Cs 0.826 0.199 0.817
Cs 0.826 0.801 0.817
Te 0.000 0.500 0.000
Au 0.500 0.231 0.500
Au 0.500 0.769 0.500
O 0.000 0.000 0.000